Material: Ho2ThMgHg4
Method: DFT, PBE
State: relaxed

Summary:
The value obtained for the energy of formation is -8.28 kcal/mol of atoms.

Lattice parameters (Å, degrees): 5.0925 5.0925 27.1247 90.00 90.00 120.00
Closest atoms and distances in Å follow each position.
Space group R-3m (No. 166, hexagonal axes)
Symmetry-distinct sites (fractional):
1 Ho 0.0000 0.0000 0.2427  7 Hg 3.11-3.16
2 Th 0.0000 0.0000 0.0000  8 Hg 3.22-3.47
3 Mg 0.0000 0.0000 0.5000  8 Hg 3.12-3.22
4 Hg 0.0000 0.0000 0.1279  4 Ho 3.11, 3 Mg 3.12, 1 Th 3.47
5 Hg 0.0000 0.0000 0.3813  3 Ho 3.16, 3 Th 3.22, 1 Mg 3.22

=====

Material: HoTm2MgHg4
Method: DFT, PBE
State: relaxed

Summary:
The value obtained for the energy of formation is -10.50 kcal/mol of atoms.

Lattice parameters (Å, degrees): 5.1136 5.1136 25.4221 90.00 90.00 120.00
Closest atoms and distances in Å follow each position.
Space group R-3m (No. 166, hexagonal axes)
Symmetry-distinct sites (fractional):
1 Ho 0.0000 0.0000 0.0000  8 Hg 3.13-3.18
2 Tm 0.0000 0.0000 0.2460  8 Hg 3.08-3.26
3 Mg 0.0000 0.0000 0.5000  8 Hg 3.14-3.20
4 Hg 0.0000 0.0000 0.1250  4 Tm 3.08-3.10, 3 Mg 3.14, 1 Ho 3.18
5 Hg 0.0000 0.0000 0.3742  3 Ho 3.13, 4 Tm 3.18-3.26, 1 Mg 3.20

=====

Material: Y2HoMgHg4
Method: DFT, PBE
State: relaxed

Summary:
The value obtained for the energy of formation is -11.02 kcal/mol of atoms.

Lattice parameters (Å, degrees): 5.1557 5.1557 25.6346 90.00 90.00 120.00
Closest atoms and distances in Å follow each position.
Space group R-3m (No. 166, hexagonal axes)
Symmetry-distinct sites (fractional):
1 Y 0.0000 0.0000 0.2453  8 Hg 3.10-3.27
2 Ho 0.0000 0.0000 0.0000  8 Hg 3.14-3.19
3 Mg 0.0000 0.0000 0.5000  8 Hg 3.17-3.26
4 Hg 0.0000 0.0000 0.1244  4 Y 3.10-3.12, 3 Mg 3.17, 1 Ho 3.19
5 Hg 0.0000 0.0000 0.3729  3 Ho 3.14, 4 Y 3.23-3.27, 1 Mg 3.26

=====

Material: HoMgZnHg
Method: DFT, PBE
State: relaxed

Summary:
The value obtained for the energy of formation is -8.72 kcal/mol of atoms.

Lattice parameters (Å, degrees): 6.9993 6.9993 6.9993 90.00 90.00 90.00
Closest atoms and distances in Å follow each position.
Space group F-43m (No. 216)
Symmetry-distinct sites (fractional):
1 Ho 0.0000 0.0000 0.0000  4 Hg 3.03, 4 Zn 3.03
2 Mg 0.0000 0.0000 0.5000  4 Hg 3.03, 4 Zn 3.03
3 Zn 0.2500 0.2500 0.2500  4 Ho 3.03, 4 Mg 3.03
4 Hg 0.2500 0.2500 0.7500  4 Ho 3.03, 4 Mg 3.03

=====

Material: Ho6Mn2Hg
Method: DFT, PBE
State: relaxed

Summary:
The value obtained for the energy of formation is -1.73 kcal/mol of atoms.

Lattice parameters (Å, degrees): 9.4730 9.6129 9.8357 90.00 90.00 90.00
Closest atoms and distances in Å follow each position.
Space group Immm (No. 71)
Symmetry-distinct sites (fractional):
1 Ho 0.0000 0.2166 0.2280  1 Mn 2.79, 1 Hg 3.06
2 Ho 0.2097 0.5000 0.1862  3 Mn 2.85-2.90
3 Ho 0.2140 0.3111 0.5000  2 Mn 2.91, 1 Hg 3.26
4 Mn 0.0000 0.3890 0.0000  1 Mn 2.13
5 Mn 0.0000 0.5000 0.3938  1 Mn 2.09
6 Hg 0.0000 0.0000 0.0000  8 Ho 3.06-3.26
7 Hg 0.0000 0.0000 0.5000  12 Ho 3.30-3.61

=====

Material: Ho4MnHg
Method: DFT, PBE
State: relaxed

Summary:
The value obtained for the energy of formation is -2.83 kcal/mol of atoms.

Lattice parameters (Å, degrees): 8.5438 12.5616 6.0545 90.00 106.04 90.00
Closest atoms and distances in Å follow each position.
Space group C2/c (No. 15)
Symmetry-distinct sites (fractional):
1 Ho 0.1044 0.1672 0.0415  2 Mn 2.71-2.74
2 Ho 0.2167 0.4197 0.3988  2 Mn 2.92-2.99, 2 Hg 3.18-3.24
3 Mn 0.0000 0.0013 0.2500  8 Ho 2.71-2.99, 2 Mn 3.03
4 Hg 0.0000 0.3731 0.7500  8 Ho 3.12-3.30

=====

Material: NdHoMnHg
Method: DFT, PBE
State: relaxed

Summary:
The value obtained for the energy of formation is -1.39 kcal/mol of atoms.

Lattice parameters (Å, degrees): 7.3884 7.3884 7.3884 90.00 90.00 90.00
Closest atoms and distances in Å follow each position.
Space group F-43m (No. 216)
Symmetry-distinct sites (fractional):
1 Nd 0.0000 0.0000 0.0000  4 Hg 3.20, 4 Mn 3.20
2 Ho 0.0000 0.0000 0.5000  4 Hg 3.20, 4 Mn 3.20
3 Mn 0.2500 0.2500 0.7500  4 Ho 3.20, 4 Nd 3.20
4 Hg 0.2500 0.2500 0.2500  4 Ho 3.20, 4 Nd 3.20

=====

Material: HoMnHgPd
Method: DFT, PBE
State: relaxed

Summary:
The value obtained for the energy of formation is -6.67 kcal/mol of atoms.

Lattice parameters (Å, degrees): 6.8507 6.8507 6.8507 90.00 90.00 90.00
Closest atoms and distances in Å follow each position.
Space group F-43m (No. 216)
Symmetry-distinct sites (fractional):
1 Ho 0.0000 0.0000 0.0000  4 Hg 2.97, 4 Pd 2.97
2 Mn 0.0000 0.0000 0.5000  4 Pd 2.97, 4 Hg 2.97
3 Hg 0.2500 0.2500 0.2500  4 Mn 2.97, 4 Ho 2.97
4 Pd 0.2500 0.2500 0.7500  4 Ho 2.97, 4 Mn 2.97

=====

Material: PrHoMnHg
Method: DFT, PBE
State: relaxed

Summary:
The value obtained for the energy of formation is -1.22 kcal/mol of atoms.

Lattice parameters (Å, degrees): 7.4202 7.4202 7.4202 90.00 90.00 90.00
Closest atoms and distances in Å follow each position.
Space group F-43m (No. 216)
Symmetry-distinct sites (fractional):
1 Pr 0.0000 0.0000 0.0000  4 Hg 3.21, 4 Mn 3.21
2 Ho 0.0000 0.0000 0.5000  4 Hg 3.21, 4 Mn 3.21
3 Mn 0.2500 0.2500 0.2500  4 Pr 3.21, 4 Ho 3.21
4 Hg 0.2500 0.2500 0.7500  4 Pr 3.21, 4 Ho 3.21

=====

Material: HoTmMnHg
Method: DFT, PBE
State: relaxed

Summary:
The value obtained for the energy of formation is -1.96 kcal/mol of atoms.

Lattice parameters (Å, degrees): 7.2113 7.2113 7.2113 90.00 90.00 90.00
Closest atoms and distances in Å follow each position.
Space group F-43m (No. 216)
Symmetry-distinct sites (fractional):
1 Ho 0.0000 0.0000 0.0000  4 Hg 3.12, 4 Mn 3.12
2 Tm 0.0000 0.0000 0.5000  4 Mn 3.12, 4 Hg 3.12
3 Mn 0.2500 0.2500 0.7500  4 Ho 3.12, 4 Tm 3.12
4 Hg 0.2500 0.2500 0.2500  4 Ho 3.12, 4 Tm 3.12

=====

Material: YHoMnHg
Method: DFT, PBE
State: relaxed

Summary:
The value obtained for the energy of formation is -2.01 kcal/mol of atoms.

Lattice parameters (Å, degrees): 7.2733 7.2733 7.2733 90.00 90.00 90.00
Closest atoms and distances in Å follow each position.
Space group F-43m (No. 216)
Symmetry-distinct sites (fractional):
1 Y 0.0000 0.0000 0.0000  4 Hg 3.15, 4 Mn 3.15
2 Ho 0.0000 0.0000 0.5000  4 Mn 3.15, 4 Hg 3.15
3 Mn 0.2500 0.2500 0.7500  4 Ho 3.15, 4 Y 3.15
4 Hg 0.2500 0.2500 0.2500  4 Ho 3.15, 4 Y 3.15

=====

Material: HoHgN
Method: DFT, PBE
State: relaxed

Summary:
For the energy relative to the elements, uncorrected, the calculation gives -1.46 eV per formula unit.

Lattice parameters (Å, degrees): 10.2351 7.5664 7.4765 90.00 90.00 90.00
Closest atoms and distances in Å follow each position.
Space group Cmce (No. 64)
Symmetry-distinct sites (fractional):
1 Ho 0.0000 0.1471 0.1529  3 N 2.19-2.22
2 Hg 0.2089 0.0000 0.5000  6 N 3.34-3.61, 6 Ho 3.38-3.61
3 N 0.0000 0.1430 0.8606  3 Ho 2.19-2.22

=====

Material: Ho5Hg2N
Method: DFT, PBE
State: relaxed

Summary:
For the energy relative to the elements, uncorrected, the calculation gives -2.93 eV per formula unit.

Lattice parameters (Å, degrees): 3.6415 20.0246 12.8416 90.00 90.00 90.00
Closest atoms and distances in Å follow each position.
Space group Cmcm (No. 63)
Symmetry-distinct sites (fractional):
1 Ho 0.0000 0.0758 0.1056  1 N 2.16
2 Ho 0.0000 0.3041 0.7500  2 N 2.24
3 Ho 0.0000 0.3142 0.0568  2 Hg 3.04
4 Hg 0.0000 0.0762 0.6398  1 Hg 2.83, 4 Ho 3.04-3.15
5 N 0.0000 0.1307 0.2500  4 Ho 2.16-2.24

=====

| no. | Fermi-level density of states (states/eV/cell) | size of the total moment (μB/cell) |
| --- | --- | --- |
| 1 | 19.9 | 0.00 |
| 2 | 9.3 | 0.00 |
| 3 | 9.6 | 0.00 |
| 4 | 6.7 | 0.00 |
| 5 | 37.3 | 7.33 |
| 6 | 26.2 | 1.47 |
| 7 | 21.3 | 12.50 |
| 8 | 8.9 | 16.94 |
| 9 | 21.5 | 12.68 |
| 10 | 24.6 | 12.06 |
| 11 | 25.1 | 12.09 |
| 12 | 4.6 | 0.00 |
| 13 | 29.8 | 0.69 |